Computed, not measured: a relaxed structure of RbFePb2Cl8 at the PBE level of DFT.

Values from the calculation:
For the raw formation energy, the calculation gives -1.10 eV/atom.

Cell and atoms, written as CIF:
```
data_RbFePb2Cl8
_cell_length_a 6.646
_cell_length_b 7.178
_cell_length_c 8.245
_cell_angle_alpha 69.17
_cell_angle_beta 88.83
_cell_angle_gamma 88.50
_space_group_name_H-M_alt 'P -1'
_space_group_IT_number 2
loop_
_space_group_symop_operation_xyz
'x,y,z'
'-x,-y,-z'
loop_
_atom_site_label
_atom_site_fract_x
_atom_site_fract_y
_atom_site_fract_z
Rb1 0.000 0.000 0.000
Fe1 0.000 0.500 0.500
Pb1 0.472 0.472 0.264
Cl1 0.038 0.452 0.239
Cl2 0.236 0.742 0.410
Cl3 0.246 0.266 0.617
Cl4 0.483 0.777 0.942
```

Computed, not measured: a relaxed structure of MgMnZn2 at the PBE level of DFT.

Values from the calculation:
Its energy relative to the elements is 0.0073 eV per atom.

Cell and atoms, written as CIF:
```
data_MgMnZn2
_cell_length_a 3.187
_cell_length_b 3.187
_cell_length_c 6.211
_cell_angle_alpha 90.00
_cell_angle_beta 90.00
_cell_angle_gamma 90.00
_space_group_name_H-M_alt 'P 4/m m m'
_space_group_IT_number 123
_space_group_name_Hall '-P 4 2'
loop_
_atom_site_label
_atom_site_fract_x
_atom_site_fract_y
_atom_site_fract_z
Mg1 0.000 0.000 0.000
Mn1 0.000 0.000 0.500
Zn1 0.500 0.500 0.278
```

Computed, not measured: a relaxed structure of Dy4InRuRh2 at the PBE level of DFT.

Values from the calculation:
Its energy relative to the elements is -0.6042 eV per atom.

Cell and atoms, written as CIF:
```
data_Dy4InRuRh2
_cell_length_a 4.9380
_cell_length_b 4.9380
_cell_length_c 24.5531
_cell_angle_alpha 90.00
_cell_angle_beta 90.00
_cell_angle_gamma 120.00
_space_group_name_H-M_alt 'R -3 m'
_space_group_IT_number 166
_space_group_name_Hall '-R 3 2"'
loop_
_atom_site_label
_atom_site_fract_x
_atom_site_fract_y
_atom_site_fract_z
Dy1 0.0000 0.0000 0.1164
Dy2 0.0000 0.0000 0.3695
In1 0.0000 0.0000 0.5000
Ru1 0.0000 0.0000 0.0000
Rh1 0.0000 0.0000 0.2503
```